(1)
## TeAsPb3 (SCAN)

Data for a PBEsol-optimized structure of TeAsPb3.

Calculated values
* E: -56.646 eV/atom
* SG: Pm-3m (221)
* formation energy without anion corrections: 7.2 kcal/mol of atoms
* total magnetic moment: 0.000 μB/f.u.

The structure in CIF format:
```
data_TeAsPb3
_cell_length_a 5.574
_cell_length_b 5.574
_cell_length_c 5.574
_cell_angle_alpha 90.00
_cell_angle_beta 90.00
_cell_angle_gamma 90.00
_space_group_name_H-M_alt 'P 1'
_space_group_IT_number 1
loop_
_space_group_symop_operation_xyz
'x,y,z'
loop_
_atom_site_label
_atom_site_type_symbol
_atom_site_fract_x
_atom_site_fract_y
_atom_site_fract_z
Pb1 Pb 0.000 0.500 0.000
Pb2 Pb 0.000 0.000 0.500
Pb3 Pb 0.500 0.000 0.000
As1 As 0.000 0.000 0.000
Te1 Te 0.500 0.500 0.500
```

(2)
## TeAsPb (SCAN)

Data for a PBEsol-optimized structure of TeAsPb.

Calculated values
* E: -44.087 eV/atom
* SG: I4mm (107)
* formation energy without anion corrections: 7.4 kcal/mol of atoms
* total magnetic moment: 0.000 μB/f.u.

The structure in CIF format:
```
data_TeAsPb
_cell_length_a 3.179
_cell_length_b 3.179
_cell_length_c 8.138
_cell_angle_alpha 101.26
_cell_angle_beta 101.26
_cell_angle_gamma 90.00
_space_group_name_H-M_alt 'P 1'
_space_group_IT_number 1
loop_
_space_group_symop_operation_xyz
'x,y,z'
loop_
_atom_site_label
_atom_site_type_symbol
_atom_site_fract_x
_atom_site_fract_y
_atom_site_fract_z
Pb1 Pb 0.651 0.651 0.301
As1 As 0.015 0.015 0.030
Te1 Te 0.334 0.334 0.668
```

(3)
## TeAs4Pb (SCAN)

Data for a PBEsol-optimized structure of TeAs4Pb.

Calculated values
* E: -31.917 eV/atom
* SG: F-43m (216)
* formation energy without anion corrections: 8.8 kcal/mol of atoms
* total magnetic moment: 0.000 μB/f.u.

The structure in CIF format:
```
data_TeAs4Pb
_cell_length_a 5.822
_cell_length_b 5.822
_cell_length_c 5.822
_cell_angle_alpha 60.00
_cell_angle_beta 60.00
_cell_angle_gamma 60.00
_space_group_name_H-M_alt 'P 1'
_space_group_IT_number 1
loop_
_space_group_symop_operation_xyz
'x,y,z'
loop_
_atom_site_label
_atom_site_type_symbol
_atom_site_fract_x
_atom_site_fract_y
_atom_site_fract_z
Pb1 Pb 0.750 0.750 0.750
As1 As 0.361 0.361 0.361
As2 As 0.361 0.361 0.917
As3 As 0.917 0.361 0.361
As4 As 0.361 0.917 0.361
Te1 Te 0.000 0.000 0.000
```

(4)
## Tl2AsPb (SCAN)

Data for a PBEsol-optimized structure of Tl2AsPb.

Calculated values
* E: -60.058 eV/atom
* energy above the most stable polymorph in this dataset: 62 meV/atom
* SG: P4/mmm (123)
* total magnetic moment: 0.000 μB/f.u.
* ΔE_f: 0.1145 eV/atom

The structure in CIF format:
```
data_Tl2AsPb
_cell_length_a 4.546
_cell_length_b 4.546
_cell_length_c 5.110
_cell_angle_alpha 90.00
_cell_angle_beta 90.00
_cell_angle_gamma 90.00
_space_group_name_H-M_alt 'P 1'
_space_group_IT_number 1
loop_
_space_group_symop_operation_xyz
'x,y,z'
loop_
_atom_site_label
_atom_site_type_symbol
_atom_site_fract_x
_atom_site_fract_y
_atom_site_fract_z
Pb1 Pb 0.000 0.000 0.500
Tl1 Tl 0.000 0.500 0.000
Tl2 Tl 0.500 0.000 0.000
As1 As 0.500 0.500 0.500
```

(5)
## TlAsPb (SCAN)

Data for a PBEsol-optimized structure of TlAsPb.

Calculated values
* E: -56.066 eV/atom
* energy above the most stable polymorph in this dataset: 67 meV/atom
* SG: F-43m (216)
* total magnetic moment: 0.000 μB/f.u.
* ΔE_f: 0.0438 eV/atom

The structure in CIF format:
```
data_TlAsPb
_cell_length_a 5.019
_cell_length_b 5.019
_cell_length_c 5.019
_cell_angle_alpha 60.00
_cell_angle_beta 60.00
_cell_angle_gamma 60.00
_space_group_name_H-M_alt 'P 1'
_space_group_IT_number 1
loop_
_space_group_symop_operation_xyz
'x,y,z'
loop_
_atom_site_label
_atom_site_type_symbol
_atom_site_fract_x
_atom_site_fract_y
_atom_site_fract_z
Pb1 Pb 0.000 0.000 0.000
Tl1 Tl 0.500 0.500 0.500
As1 As 0.250 0.250 0.250
```

(6)
## TlAsPb (SCAN)

Data for a PBEsol-optimized structure of TlAsPb.

Calculated values
* E: -56.029 eV/atom
* energy above the most stable polymorph in this dataset: 104 meV/atom
* SG: I4mm (107)
* total magnetic moment: 0.001 μB/f.u.
* ΔE_f: 0.0810 eV/atom

The structure in CIF format:
```
data_TlAsPb
_cell_length_a 3.643
_cell_length_b 3.644
_cell_length_c 6.533
_cell_angle_alpha 106.19
_cell_angle_beta 106.19
_cell_angle_gamma 90.00
_space_group_name_H-M_alt 'P 1'
_space_group_IT_number 1
loop_
_space_group_symop_operation_xyz
'x,y,z'
loop_
_atom_site_label
_atom_site_type_symbol
_atom_site_fract_x
_atom_site_fract_y
_atom_site_fract_z
Pb1 Pb 0.363 0.363 0.725
Tl1 Tl 0.648 0.648 0.296
As1 As 0.990 0.990 0.979
```

(7)
## Tl2AsPb (SCAN)

Data for a PBEsol-optimized structure of Tl2AsPb.

Calculated values
* E: -60.085 eV/atom
* energy above the most stable polymorph in this dataset: 34 meV/atom
* SG: Immm (71)
* total magnetic moment: 0.001 μB/f.u.
* ΔE_f: 0.0867 eV/atom

The structure in CIF format:
```
data_Tl2AsPb
_cell_length_a 3.949
_cell_length_b 4.889
_cell_length_c 6.360
_cell_angle_alpha 112.61
_cell_angle_beta 108.09
_cell_angle_gamma 90.00
_space_group_name_H-M_alt 'P 1'
_space_group_IT_number 1
loop_
_space_group_symop_operation_xyz
'x,y,z'
loop_
_atom_site_label
_atom_site_type_symbol
_atom_site_fract_x
_atom_site_fract_y
_atom_site_fract_z
Pb1 Pb 0.000 0.500 0.000
Tl1 Tl 0.786 0.786 0.572
Tl2 Tl 0.214 0.214 0.428
As1 As 0.500 0.000 0.000
```

(8)
## TlAs2Pb (SCAN)

Data for a PBEsol-optimized structure of TlAs2Pb.

Calculated values
* E: -47.025 eV/atom
* energy above the most stable polymorph in this dataset: 49 meV/atom
* SG: C2/m (12)
* total magnetic moment: 0.000 μB/f.u.
* ΔE_f: 0.1057 eV/atom

The structure in CIF format:
```
data_TlAs2Pb
_cell_length_a 3.569
_cell_length_b 5.859
_cell_length_c 5.663
_cell_angle_alpha 107.44
_cell_angle_beta 90.00
_cell_angle_gamma 107.73
_space_group_name_H-M_alt 'P 1'
_space_group_IT_number 1
loop_
_space_group_symop_operation_xyz
'x,y,z'
loop_
_atom_site_label
_atom_site_type_symbol
_atom_site_fract_x
_atom_site_fract_y
_atom_site_fract_z
Pb1 Pb 0.500 0.000 0.000
Tl1 Tl 0.000 0.000 0.500
As1 As 0.750 0.501 0.843
As2 As 0.250 0.499 0.157
```

(9)
## TlAs2Pb (SCAN)

Data for a PBEsol-optimized structure of TlAs2Pb.

Calculated values
* E: -47.023 eV/atom
* energy above the most stable polymorph in this dataset: 50 meV/atom
* SG: Cm (8)
* total magnetic moment: 0.001 μB/f.u.
* ΔE_f: 0.1067 eV/atom

The structure in CIF format:
```
data_TlAs2Pb
_cell_length_a 3.561
_cell_length_b 5.233
_cell_length_c 6.025
_cell_angle_alpha 110.96
_cell_angle_beta 107.19
_cell_angle_gamma 90.00
_space_group_name_H-M_alt 'P 1'
_space_group_IT_number 1
loop_
_space_group_symop_operation_xyz
'x,y,z'
loop_
_atom_site_label
_atom_site_type_symbol
_atom_site_fract_x
_atom_site_fract_y
_atom_site_fract_z
Pb1 Pb 0.517 0.547 0.034
Tl1 Tl 0.727 0.206 0.455
As1 As 0.959 0.989 0.918
As2 As 0.297 0.757 0.593
```

(10)
## Tl2AsPb (SCAN)

Data for a PBEsol-optimized structure of Tl2AsPb.

Calculated values
* E: -60.119 eV/atom
* energy above the most stable polymorph in this dataset: 0 meV/atom
* SG: P4mm (99)
* total magnetic moment: 0.002 μB/f.u.
* ΔE_f: 0.0526 eV/atom

The structure in CIF format:
```
data_Tl2AsPb
_cell_length_a 3.731
_cell_length_b 3.731
_cell_length_c 7.688
_cell_angle_alpha 90.00
_cell_angle_beta 90.00
_cell_angle_gamma 90.00
_space_group_name_H-M_alt 'P 1'
_space_group_IT_number 1
loop_
_space_group_symop_operation_xyz
'x,y,z'
loop_
_atom_site_label
_atom_site_type_symbol
_atom_site_fract_x
_atom_site_fract_y
_atom_site_fract_z
Pb1 Pb 0.500 0.500 0.708
Tl1 Tl 0.000 0.000 0.997
Tl2 Tl 0.500 0.500 0.280
As1 As 0.000 0.000 0.515
```

(11)
## Tl2AsPb (SCAN)

Data for a PBEsol-optimized structure of Tl2AsPb.

Calculated values
* E: -60.108 eV/atom
* energy above the most stable polymorph in this dataset: 11 meV/atom
* SG: Imm2 (44)
* total magnetic moment: 0.001 μB/f.u.
* ΔE_f: 0.0641 eV/atom

The structure in CIF format:
```
data_Tl2AsPb
_cell_length_a 3.935
_cell_length_b 5.165
_cell_length_c 6.243
_cell_angle_alpha 114.43
_cell_angle_beta 108.37
_cell_angle_gamma 90.00
_space_group_name_H-M_alt 'P 1'
_space_group_IT_number 1
loop_
_space_group_symop_operation_xyz
'x,y,z'
loop_
_atom_site_label
_atom_site_type_symbol
_atom_site_fract_x
_atom_site_fract_y
_atom_site_fract_z
Pb1 Pb 0.209 0.709 0.418
Tl1 Tl 0.995 0.995 0.990
Tl2 Tl 0.782 0.282 0.564
As1 As 0.513 0.513 0.027
```

(12)
## TlAsPb (SCAN)

Data for a PBEsol-optimized structure of TlAsPb.

Calculated values
* E: -56.133 eV/atom
* energy above the most stable polymorph in this dataset: 0 meV/atom
* SG: P3m1 (156)
* total magnetic moment: 0.000 μB/f.u.
* ΔE_f: -0.0229 eV/atom

The structure in CIF format:
```
data_TlAsPb
_cell_length_a 4.208
_cell_length_b 4.208
_cell_length_c 5.575
_cell_angle_alpha 90.00
_cell_angle_beta 90.00
_cell_angle_gamma 120.00
_space_group_name_H-M_alt 'P 1'
_space_group_IT_number 1
loop_
_space_group_symop_operation_xyz
'x,y,z'
loop_
_atom_site_label
_atom_site_type_symbol
_atom_site_fract_x
_atom_site_fract_y
_atom_site_fract_z
Pb1 Pb 0.333 0.667 0.719
Tl1 Tl 0.667 0.333 0.294
As1 As 0.000 0.000 0.987
```

(13)
## TlAs2Pb (SCAN)

Data for a PBEsol-optimized structure of TlAs2Pb.

Calculated values
* E: -47.074 eV/atom
* energy above the most stable polymorph in this dataset: 0 meV/atom
* SG: R3m (160)
* total magnetic moment: 0.000 μB/f.u.
* ΔE_f: 0.0567 eV/atom

The structure in CIF format:
```
data_TlAs2Pb
_cell_length_a 3.592
_cell_length_b 3.592
_cell_length_c 9.311
_cell_angle_alpha 78.88
_cell_angle_beta 78.88
_cell_angle_gamma 60.00
_space_group_name_H-M_alt 'P 1'
_space_group_IT_number 1
loop_
_space_group_symop_operation_xyz
'x,y,z'
loop_
_atom_site_label
_atom_site_type_symbol
_atom_site_fract_x
_atom_site_fract_y
_atom_site_fract_z
Pb1 Pb 0.492 0.492 0.524
Tl1 Tl 0.258 0.258 0.226
As1 As 0.016 0.016 0.954
As2 As 0.735 0.735 0.796
```

(14)
## TlZnAs2Pb (SCAN)

Data for a PBEsol-optimized structure of TlZnAs2Pb.

Calculated values
* E: -39.483 eV/atom
* SG: P4/mmm (123)
* total magnetic moment: 0.000 μB/f.u.
* ΔE_f: 0.9237 eV/atom

The structure in CIF format:
```
data_TlZnAs2Pb
_cell_length_a 5.311
_cell_length_b 5.311
_cell_length_c 6.125
_cell_angle_alpha 90.00
_cell_angle_beta 90.00
_cell_angle_gamma 90.00
_space_group_name_H-M_alt 'P 1'
_space_group_IT_number 1
loop_
_space_group_symop_operation_xyz
'x,y,z'
loop_
_atom_site_label
_atom_site_type_symbol
_atom_site_fract_x
_atom_site_fract_y
_atom_site_fract_z
Pb1 Pb 0.000 0.000 0.000
Zn1 Zn 0.500 0.500 0.500
Tl1 Tl 0.000 0.000 0.500
As1 As 0.000 0.500 0.000
As2 As 0.500 0.000 0.000
```

(15)
## AsPbW2 (SCAN)

Data for a PBEsol-optimized structure of AsPbW2.

Calculated values
* E: -57.802 eV/atom
* energy above the most stable polymorph in this dataset: 0 meV/atom
* SG: P4/mmm (123)
* total magnetic moment: 0.000 μB/f.u.
* ΔE_f: 1.0347 eV/atom

The structure in CIF format:
```
data_AsPbW2
_cell_length_a 3.256
_cell_length_b 4.573
_cell_length_c 4.573
_cell_angle_alpha 90.00
_cell_angle_beta 90.00
_cell_angle_gamma 90.00
_space_group_name_H-M_alt 'P 1'
_space_group_IT_number 1
loop_
_space_group_symop_operation_xyz
'x,y,z'
loop_
_atom_site_label
_atom_site_type_symbol
_atom_site_fract_x
_atom_site_fract_y
_atom_site_fract_z
Pb1 Pb 0.500 0.000 0.000
As1 As 0.500 0.500 0.500
W1 W 0.000 0.000 0.500
W2 W 0.000 0.500 0.000
```

(16)
## AsPbW2 (SCAN)

Data for a PBEsol-optimized structure of AsPbW2.

Calculated values
* E: -57.650 eV/atom
* energy above the most stable polymorph in this dataset: 152 meV/atom
* SG: C2/m (12)
* total magnetic moment: 0.000 μB/f.u.
* ΔE_f: 1.1865 eV/atom

The structure in CIF format:
```
data_AsPbW2
_cell_length_a 3.094
_cell_length_b 5.266
_cell_length_c 5.283
_cell_angle_alpha 117.32
_cell_angle_beta 103.04
_cell_angle_gamma 97.75
_space_group_name_H-M_alt 'P 1'
_space_group_IT_number 1
loop_
_space_group_symop_operation_xyz
'x,y,z'
loop_
_atom_site_label
_atom_site_type_symbol
_atom_site_fract_x
_atom_site_fract_y
_atom_site_fract_z
Pb1 Pb 0.000 0.500 0.000
As1 As 0.500 0.000 0.000
W1 W 0.000 0.000 0.500
W2 W 0.500 0.500 0.500
```

(17)
## ZrAs2PbW (SCAN)

Data for a PBEsol-optimized structure of ZrAs2PbW.

Calculated values
* E: -41.919 eV/atom
* SG: P4/mmm (123)
* total magnetic moment: 4.375 μB/f.u.
* ΔE_f: 1.3905 eV/atom

The structure in CIF format:
```
data_ZrAs2PbW
_cell_length_a 5.039
_cell_length_b 5.039
_cell_length_c 5.499
_cell_angle_alpha 90.00
_cell_angle_beta 90.00
_cell_angle_gamma 90.00
_space_group_name_H-M_alt 'P 1'
_space_group_IT_number 1
loop_
_space_group_symop_operation_xyz
'x,y,z'
loop_
_atom_site_label
_atom_site_type_symbol
_atom_site_fract_x
_atom_site_fract_y
_atom_site_fract_z
Pb1 Pb 0.000 0.000 0.500
As1 As 0.000 0.500 0.000
As2 As 0.500 0.000 0.000
Zr1 Zr 0.000 0.000 0.000
W1 W 0.500 0.500 0.500
```

(18)
## Y2AsPb2 (SCAN)

Data for a PBEsol-optimized structure of Y2AsPb2.

Calculated values
* E: -46.041 eV/atom
* SG: I4/mmm (139)
* total magnetic moment: 0.000 μB/f.u.
* ΔE_f: -0.5529 eV/atom

The structure in CIF format:
```
data_Y2AsPb2
_cell_length_a 4.077
_cell_length_b 4.077
_cell_length_c 8.676
_cell_angle_alpha 103.59
_cell_angle_beta 103.59
_cell_angle_gamma 90.00
_space_group_name_H-M_alt 'P 1'
_space_group_IT_number 1
loop_
_space_group_symop_operation_xyz
'x,y,z'
loop_
_atom_site_label
_atom_site_type_symbol
_atom_site_fract_x
_atom_site_fract_y
_atom_site_fract_z
As1 As 0.000 0.000 0.000
Pb1 Pb 0.250 0.750 0.500
Pb2 Pb 0.750 0.250 0.500
Y1 Y 0.595 0.595 0.190
Y2 Y 0.405 0.405 0.810
```

(19)
## Zn2AsPb2 (SCAN)

Data for a PBEsol-optimized structure of Zn2AsPb2.

Calculated values
* E: -39.531 eV/atom
* SG: I4/mmm (139)
* total magnetic moment: 0.000 μB/f.u.
* ΔE_f: 0.2257 eV/atom

The structure in CIF format:
```
data_Zn2AsPb2
_cell_length_a 3.664
_cell_length_b 3.664
_cell_length_c 8.837
_cell_angle_alpha 101.97
_cell_angle_beta 101.97
_cell_angle_gamma 90.00
_space_group_name_H-M_alt 'P 1'
_space_group_IT_number 1
loop_
_space_group_symop_operation_xyz
'x,y,z'
loop_
_atom_site_label
_atom_site_type_symbol
_atom_site_fract_x
_atom_site_fract_y
_atom_site_fract_z
Pb1 Pb 0.401 0.401 0.801
Pb2 Pb 0.599 0.599 0.199
As1 As 0.000 0.000 0.000
Zn1 Zn 0.250 0.750 0.500
Zn2 Zn 0.750 0.250 0.500
```

(20)
## Zn2As2Pb (SCAN)

Data for a PBEsol-optimized structure of Zn2As2Pb.

Calculated values
* E: -28.665 eV/atom
* energy above the most stable polymorph in this dataset: 0 meV/atom
* SG: I4/mmm (139)
* total magnetic moment: 0.000 μB/f.u.
* ΔE_f: -0.0269 eV/atom

The structure in CIF format:
```
data_Zn2As2Pb
_cell_length_a 3.897
_cell_length_b 3.897
_cell_length_c 7.320
_cell_angle_alpha 105.44
_cell_angle_beta 105.44
_cell_angle_gamma 90.00
_space_group_name_H-M_alt 'P 1'
_space_group_IT_number 1
loop_
_space_group_symop_operation_xyz
'x,y,z'
loop_
_atom_site_label
_atom_site_type_symbol
_atom_site_fract_x
_atom_site_fract_y
_atom_site_fract_z
Pb1 Pb 0.000 0.000 0.000
As1 As 0.372 0.372 0.745
As2 As 0.628 0.628 0.255
Zn1 Zn 0.250 0.750 0.500
Zn2 Zn 0.750 0.250 0.500
```